1.
A relaxed LiCaTc2Sn crystal. Source: the Alexandria database, functional GGA-PBEsol.

## Properties
Energy of formation (eV/f.u.): 5.3

abc: 4.747 4.985 4.985
angles: 90.00 90.00 90.00
Each line ends with the local moment (μB).
Positions (direct):
1 Ca 0.500 0.500 0.500  -0.01
2 Tc 0.000 0.000 0.500  1.56
3 Tc 0.000 0.500 0.000  1.56
4 Sn 0.000 0.000 0.000  -0.07
5 Li 0.500 0.000 0.000  -0.01

2.
A relaxed Nd2H16S3O20 crystal. Source: the Alexandria database, functional GGA-PBEsol.

## Properties
DFT total energy (eV/atom): -5.96

abc: 6.842 7.512 18.080
angles: 101.86 90.00 117.09
Positions (direct):
1 Nd 0.361 0.656 0.104
2 Nd 0.639 0.344 0.896
3 Nd 0.295 0.656 0.604
4 Nd 0.705 0.344 0.396
5 H 0.797 0.015 0.836
6 H 0.720 0.731 0.484
7 H 0.822 0.675 0.303
8 H 0.203 0.985 0.164
9 H 0.240 0.542 0.756
10 H 0.645 0.107 0.653
11 H 0.197 0.223 0.002
12 H 0.988 0.269 0.016
13 H 0.538 0.893 0.847
14 H 0.462 0.107 0.153
15 H 0.698 0.458 0.744
16 H 0.355 0.893 0.347
17 H 0.703 0.029 0.045
18 H 0.302 0.542 0.256
19 H 0.169 0.015 0.893
20 H 0.178 0.325 0.697
21 H 0.012 0.731 0.984
22 H 0.853 0.675 0.803
23 H 0.026 0.223 0.502
24 H 0.327 0.029 0.545
25 H 0.846 0.015 0.393
26 H 0.673 0.971 0.455
27 H 0.803 0.777 0.998
28 H 0.147 0.325 0.197
29 H 0.760 0.458 0.244
30 H 0.831 0.985 0.107
31 H 0.974 0.777 0.498
32 H 0.782 0.985 0.664
33 H 0.280 0.269 0.516
34 H 0.218 0.015 0.336
35 H 0.297 0.971 0.955
36 H 0.154 0.985 0.607
37 O 0.635 0.967 0.647
38 O 0.407 0.506 0.928
39 O 0.691 0.318 0.154
40 O 0.593 0.494 0.072
41 O 0.529 0.258 0.519
42 O 0.627 0.318 0.654
43 O 0.610 0.586 0.604
44 O 0.271 0.742 0.981
45 O 0.063 0.062 0.691
46 O 0.711 0.916 0.064
47 O 0.794 0.084 0.436
48 O 0.632 0.824 0.213
49 O 0.937 0.938 0.309
50 O 0.668 0.033 0.853
51 O 0.864 0.702 0.961
52 O 0.136 0.298 0.039
53 O 0.163 0.298 0.539
54 O 0.390 0.414 0.396
55 O 0.837 0.702 0.461
56 O 0.289 0.084 0.936
57 O 0.222 0.472 0.701
58 O 0.024 0.414 0.896
59 O 0.373 0.682 0.346
60 O 0.809 0.176 0.287
61 O 0.471 0.742 0.481
62 O 0.191 0.824 0.713
63 O 0.309 0.682 0.846
64 O 0.900 0.494 0.572
65 O 0.729 0.258 0.019
66 O 0.100 0.506 0.428
67 O 0.750 0.528 0.799
68 O 0.332 0.967 0.147
69 O 0.001 0.938 0.809
70 O 0.976 0.586 0.104
71 O 0.778 0.528 0.299
72 O 0.365 0.033 0.353
73 O 0.368 0.176 0.787
74 O 0.250 0.472 0.201
75 O 0.999 0.062 0.191
76 O 0.206 0.916 0.564
77 S 0.748 0.418 0.089
78 S 0.843 0.000 0.250
79 S 0.252 0.582 0.911
80 S 0.157 0.000 0.750
81 S 0.669 0.418 0.589
82 S 0.331 0.582 0.411

3.
A relaxed ZnAu2Se crystal. Source: the Alexandria database, functional GGA-PBEsol.

## Properties
Formation energy (no corrections) (eV per atom): 0.0789

abc: 3.863 4.253 5.059
angles: 114.85 112.45 90.00
Positions (direct):
1 Au 0.745 0.245 0.490
2 Au 0.980 0.980 0.961
3 Se 0.522 0.522 0.043
4 Zn 0.253 0.753 0.507

4.
A relaxed HgAu crystal. Source: the Alexandria database, functional GGA-PBEsol.

## Properties
Energy of formation (eV/f.u.): 0.1

abc: 2.886 4.846 6.001
angles: 104.06 103.92 90.00
Positions (direct):
1 Hg 0.398 0.189 0.796
2 Hg 0.602 0.811 0.204
3 Au 0.148 0.334 0.297
4 Au 0.852 0.666 0.703

5.
A relaxed YSc2Re crystal. Source: the Alexandria database, functional GGA-PBEsol.

## Properties
Offset from the most stable computed form (meV per atom): 75
Energy of formation (eV/f.u.): 0.7

abc: 3.110 4.509 6.179
angles: 90.00 104.59 90.00
Positions (direct):
1 Y 0.467 0.000 0.533
2 Re 0.206 0.500 0.771
3 Sc 0.085 0.000 0.981
4 Sc 0.743 0.500 0.215

6.
A relaxed Tc7B3 crystal. Source: the Alexandria database, functional GGA-PBEsol.

## Properties
Energy of formation (eV/f.u.): -3.5

abc: 4.806 7.415 7.415
angles: 120.00 90.00 90.00
Positions (direct):
1 B 0.660 0.620 0.810
2 B 0.160 0.810 0.190
3 B 0.660 0.190 0.810
4 B 0.160 0.810 0.620
5 B 0.660 0.190 0.380
6 B 0.160 0.380 0.190
7 Tc 0.745 0.876 0.753
8 Tc 0.452 0.545 0.455
9 Tc 0.245 0.753 0.876
10 Tc 0.452 0.909 0.455
11 Tc 0.952 0.455 0.545
12 Tc 0.245 0.124 0.876
13 Tc 0.952 0.455 0.909
14 Tc 0.915 0.667 0.333
15 Tc 0.452 0.545 0.091
16 Tc 0.745 0.876 0.124
17 Tc 0.952 0.091 0.545
18 Tc 0.415 0.333 0.667
19 Tc 0.245 0.124 0.247
20 Tc 0.745 0.247 0.124

7.
A relaxed Fe3GeRh crystal. Source: the Alexandria database, functional GGA-PBEsol.

## Properties
Energy of formation (eV/f.u.): 5.6

abc: 4.259 4.259 4.259
angles: 90.00 90.00 90.00
Each line ends with the local moment (μB).
Positions (direct):
1 Fe 0.000 0.000 0.500  2.59
2 Fe 0.500 0.000 0.000  2.59
3 Fe 0.000 0.500 0.000  2.59
4 Rh 0.500 0.500 0.500  0.97
5 Ge 0.000 0.000 0.000  -0.13

8.
A relaxed SnS2O crystal. Source: the Alexandria database, functional GGA-PBEsol.

## Properties
Offset from the most stable computed form (meV per atom): 362
Formation energy (no corrections) (eV per atom): 0.6916

abc: 3.011 3.011 8.501
angles: 79.80 79.80 60.00
Positions (direct):
1 Sn 0.000 0.000 0.000
2 S 0.106 0.106 0.682
3 S 0.894 0.894 0.318
4 O 0.500 0.500 0.500

The evaluated total magnetic moment for the records listed, in turn: 0.6496 0.0000 0.0000 0.0000 0.0000 0.0000 1.7096 0.0002 μB/atom.
The evaluated calculated volume for the records listed, in turn: 118.0 804.9 68.4 78.9 83.9 228.8 77.3 65.3 Å³ per cell.